{
  "formula": "LiInSe",
  "functional": "GGA-PBE",
  "state": "relaxed",
  "dft_energy_ev_per_cell": -10.13,
  "e_form_raw_ev_per_atom": -0.664,
  "sg": "P3m1, No. 156",
  "m_tot_mub_per_fu": 0.00,
  "polymorph_energy_ev_per_atom": 0.000,
  "lattice_angstrom": [[4.027, 0.000, 0.000], [-2.014, 3.488, 0.000], [0.000, 0.000, 5.458]],
  "species": ["In", "Li", "Se"],
  "fractional_positions": [[0.000, 0.000, 0.947], [0.667, 0.333, 0.428], [0.333, 0.667, 0.625]]
}